First-principles (PBE) data for a relaxed structure of ReTcPt2, as listed in the Alexandria database.

The calculation puts the offset from the most stable computed form at 239 meV/atom.

a = 3.312 Å, b = 3.312 Å, c = 5.604 Å
α = 90.00°, β = 90.00°, γ = 90.00°
Fractional coordinates of all 4 atoms:
Re 0.000 0.000 0.000
Tc 0.500 0.500 0.235
Pt 0.000 0.000 0.494
Pt 0.500 0.500 0.745